Crystalline Sm5HgGe2 at its relaxed geometry. Source: Alexandria, functional PBE.

Lattice parameters (Å, degrees): 7.851 7.851 9.112 115.52 115.52 90.00
Element x y z (fractional)
Ge (0.867, 0.633, 0.000)
Ge (0.133, 0.367, 0.000)
Ge (0.367, 0.867, 0.000)
Ge (0.633, 0.133, 0.000)
Sm (0.691, 0.191, 0.717)
Sm (0.309, 0.809, 0.283)
Sm (0.026, 0.526, 0.717)
Sm (0.000, 0.000, 0.000)
Sm (0.526, 0.691, 0.717)
Sm (0.474, 0.309, 0.283)
Sm (0.974, 0.474, 0.283)
Sm (0.500, 0.500, 0.000)
Sm (0.191, 0.026, 0.717)
Sm (0.809, 0.974, 0.283)
Hg (0.750, 0.750, 0.500)
Hg (0.250, 0.250, 0.500)

Calculated values
V, Å³/atom: 27.834
Symmetry: I4/mcm, No. 140
Fermi-level density of states, states/eV/cell: 13.72
Final energy, eV per cell: -75.8